No. 1
First-principles (PBE) data for a geometry-optimized TbTlPd6 structure, as listed in Alexandria via LeMat-Bulk.

Cell: 4.1073 4.1073 8.2430 Å, 90.00 90.00 90.00°
Atoms (fractional coordinates):
Tb1 0.0000 0.0000 0.0000
Tl1 0.0000 0.0000 0.5000
Pd1 0.5000 0.0000 0.2523
Pd2 0.0000 0.5000 0.2523
Pd3 0.0000 0.5000 0.7477
Pd4 0.5000 0.0000 0.7477
Pd5 0.5000 0.5000 0.5000
Pd6 0.5000 0.5000 0.0000

Its crystal system is tetragonal. Its space group is P4/mmm (123). The value obtained for the excess energy over the best structure of this formula in the dataset is 0 meV per atom. The theoretical density comes out at 11.96 g cm⁻³. Its spin magnetization is 0.0 Bohr magnetons per cell. The calculation puts the formation enthalpy at 0 K at -0.54 eV per atom.



No. 2
First-principles (PBE) data for a geometry-optimized NiMo2Rh structure, as listed in Alexandria via LeMat-Bulk.

Cell: 2.7083 2.7082 7.7106 Å, 90.00 90.00 89.99°
Atoms (fractional coordinates):
Ni1 0.5000 0.5000 0.2500
Mo1 0.0000 0.0000 0.0091
Rh1 0.5000 0.5000 0.7500
Mo2 0.0000 0.0000 0.4909

Its crystal system is tetragonal. Its space group is P4/mmm (123). The value obtained for the excess energy over the best structure of this formula in the dataset is 55 meV per atom. The theoretical density comes out at 10.38 g cm⁻³. Its spin magnetization is 0.0 Bohr magnetons per cell. The calculation puts the formation enthalpy at 0 K at -0.06 eV per atom.



No. 3
First-principles (PBE) data for a geometry-optimized Tb2Pm4SmSc structure, as listed in Alexandria via LeMat-Bulk.

Cell: 3.5962 6.1889 11.8042 Å, 79.72 90.00 90.00°
Atoms (fractional coordinates):
Tb1 0.5000 0.0000 0.5000
Sc1 0.0000 0.5000 0.5000
Pm1 0.0000 0.2495 0.2533
Tb2 0.0000 0.0000 0.0000
Pm2 0.0000 0.7505 0.7467
Pm3 0.5000 0.2549 0.7424
Pm4 0.5000 0.7451 0.2576
Sm1 0.5000 0.5000 0.0000

Its crystal system is monoclinic. Its space group is P2/m (10). The theoretical density comes out at 7.02 g cm⁻³. Its spin magnetization is 0.0 Bohr magnetons per cell. The calculation puts the formation enthalpy at 0 K at 0.03 eV per atom.



No. 4
First-principles (PBE) data for a geometry-optimized TbMg2Rh structure, as listed in Alexandria via LeMat-Bulk.

Cell: 3.1168 3.1168 10.5138 Å, 81.48 81.48 60.00°
Atoms (fractional coordinates):
Mg1 0.8970 0.8970 0.3091
Rh1 0.5000 0.5000 0.5000
Mg2 0.1030 0.1030 0.6909
Tb1 0.0000 0.0000 0.0000

Its crystal system is trigonal. Its space group is R-3m (166). The theoretical density comes out at 5.92 g cm⁻³. Its spin magnetization is 0.0 Bohr magnetons per cell. The calculation puts the formation enthalpy at 0 K at 0.04 eV per atom.



No. 5
First-principles (PBE) data for a geometry-optimized Ag3AsO structure, as listed in Alexandria via LeMat-Bulk.

Cell: 4.4757 4.4757 4.4757 Å, 90.00 90.00 90.00°
Atoms (fractional coordinates):
Ag1 0.5000 0.0000 0.0000
O1 0.0000 0.0000 0.0000
Ag2 0.0000 0.0000 0.5000
Ag3 0.0000 0.5000 0.0000
As1 0.5000 0.5000 0.5000

Its crystal system is cubic. Its space group is Pm-3m (221). The value obtained for the excess energy over the best structure of this formula in the dataset is 0 meV per atom. The formation energy from raw total energies is 244 meV/atom. The theoretical density comes out at 7.68 g cm⁻³. Its spin magnetization is 0.0 Bohr magnetons per cell.



No. 6
First-principles (PBE) data for a geometry-optimized BaMn2In structure, as listed in Alexandria via LeMat-Bulk.

Cell: 4.7346 3.3123 6.8385 Å, 80.41 90.00 90.00°
Site moments in Bohr magnetons follow the coordinates.
Atoms (fractional coordinates):
Mn1 0.0000 0.5426 0.5861  3.71
In1 0.5000 0.7500 0.7500  -0.12
Ba1 0.5000 0.2500 0.2500  -0.06
Mn2 0.0000 0.9574 0.9139  3.71

Its crystal system is monoclinic. Its space group is P2/m (10). The theoretical density comes out at 5.68 g cm⁻³. Its spin magnetization is 7.6 Bohr magnetons per cell. The calculation puts the formation enthalpy at 0 K at 0.50 eV per atom.



No. 7
First-principles (PBE) data for a geometry-optimized InNF3 structure, as listed in Alexandria via LeMat-Bulk.

Cell: 4.0293 4.0293 4.0293 Å, 90.00 90.00 90.00°
Site moments in Bohr magnetons follow the coordinates.
Atoms (fractional coordinates):
In1 0.5000 0.5000 0.5000  -0.11
N1 0.0000 0.0000 0.0000  1.05
F1 0.0000 0.5000 0.0000  -0.02
F2 0.5000 0.0000 0.0000  0.04
F3 0.0000 0.0000 0.5000  -0.06

Its crystal system is cubic. Its space group is Pm-3m (221). The value obtained for the excess energy over the best structure of this formula in the dataset is 855 meV per atom. The formation energy from raw total energies is -82 meV/atom. The theoretical density comes out at 4.72 g cm⁻³. Its spin magnetization is 1.2 Bohr magnetons per cell.



No. 8
First-principles (PBE) data for a geometry-optimized Ac3Cu4Pt2 structure, as listed in Alexandria via LeMat-Bulk.

Cell: 4.3809 6.0752 8.7720 Å, 104.60 90.00 111.13°
Atoms (fractional coordinates):
Cu1 0.9531 0.9062 0.6108
Cu2 0.0469 0.0938 0.3892
Ac1 0.3289 0.6577 0.3383
Cu3 0.7252 0.4503 0.0525
Cu4 0.2748 0.5497 0.9475
Ac2 0.6711 0.3423 0.6617
Pt1 0.3881 0.7762 0.7252
Pt2 0.6119 0.2238 0.2748
Ac3 0.0000 0.0000 0.0000

Its crystal system is monoclinic. Its space group is C2/m (12). The theoretical density comes out at 10.50 g cm⁻³. Its spin magnetization is 0.0 Bohr magnetons per cell. The calculation puts the formation enthalpy at 0 K at -0.58 eV per atom.



> The lowest theoretical density belongs to which entry?

InNF3



Copy entry 5 word for word.
First-principles (PBE) data for a geometry-optimized Ag3AsO structure, as listed in Alexandria via LeMat-Bulk.

Cell: 4.4757 4.4757 4.4757 Å, 90.00 90.00 90.00°
Atoms (fractional coordinates):
Ag1 0.5000 0.0000 0.0000
O1 0.0000 0.0000 0.0000
Ag2 0.0000 0.0000 0.5000
Ag3 0.0000 0.5000 0.0000
As1 0.5000 0.5000 0.5000

Its crystal system is cubic. Its space group is Pm-3m (221). The value obtained for the excess energy over the best structure of this formula in the dataset is 0 meV per atom. The formation energy from raw total energies is 244 meV/atom. The theoretical density comes out at 7.68 g cm⁻³. Its spin magnetization is 0.0 Bohr magnetons per cell.



> Among the records above, which one has the highest theoretical density?

TbTlPd6